1.
Compound: Pu2ReOs
Source: Alexandria via LeMat-Bulk
Functional: GGA-PBE
Structure: optimized geometry

a = 4.6827 Å, b = 4.6827 Å, c = 3.5210 Å
α = 90.00°, β = 90.00°, γ = 90.00°
With the nearest neighbours (Å) after each atom.
Element x y z (fractional)
Pu 0.0000 0.5000 0.0000  4 Re 2.93, 4 Os 2.93
Pu 0.5000 0.0000 0.0000  4 Re 2.93, 4 Os 2.93
Re 0.0000 0.0000 0.5000  8 Pu 2.93
Os 0.5000 0.5000 0.5000  8 Pu 2.93

## Properties
calculated volume: 77.2 Å³/f.u.
space-group type: P4/mmm
energy of formation from the pure elements: 0.19 eV per atom

---

2.
Compound: PuScReOs
Source: Alexandria via LeMat-Bulk
Functional: GGA-PBE
Structure: optimized geometry

a = 4.6631 Å, b = 4.6631 Å, c = 4.6631 Å
α = 60.00°, β = 60.00°, γ = 60.00°
With the nearest neighbours (Å) after each atom.
Element x y z (fractional)
Pu 0.0000 0.0000 0.0000  4 Re 2.86, 4 Os 2.86
Sc 0.5000 0.5000 0.5000  4 Re 2.86, 4 Os 2.86
Re 0.7500 0.7500 0.7500  4 Sc 2.86, 4 Pu 2.86
Os 0.2500 0.2500 0.2500  4 Sc 2.86, 4 Pu 2.86

## Properties
calculated volume: 71.7 Å³/f.u.
space-group type: F-43m
energy of formation from the pure elements: -0.06 eV per atom

---

3.
Compound: PuUReOs
Source: Alexandria via LeMat-Bulk
Functional: GGA-PBE
Structure: optimized geometry

a = 4.6395 Å, b = 4.6395 Å, c = 4.6395 Å
α = 60.00°, β = 60.00°, γ = 60.00°
With the nearest neighbours (Å) after each atom.
Element x y z (fractional)
Pu 0.0000 0.0000 0.0000  4 Os 2.84, 4 U 2.84
U 0.2500 0.2500 0.2500  4 Re 2.84, 4 Pu 2.84
Re 0.5000 0.5000 0.5000  4 Os 2.84, 4 U 2.84
Os 0.7500 0.7500 0.7500  4 Pu 2.84, 4 Re 2.84

## Properties
calculated volume: 70.6 Å³/f.u.
space-group type: F-43m
energy of formation from the pure elements: 0.05 eV per atom

---

4.
Compound: Pu3OsRh
Source: Alexandria via LeMat-Bulk
Functional: GGA-PBE
Structure: optimized geometry

a = 3.9728 Å, b = 6.6336 Å, c = 8.8473 Å
α = 90.00°, β = 90.00°, γ = 90.00°
With the nearest neighbours (Å) after each atom.
Element x y z (fractional)
Pu 0.2500 0.0237 0.1711  3 Os 2.74-2.92, 2 Rh 2.97, 1 Pu 3.00
Pu 0.2500 0.2500 0.5641  2 Rh 2.72, 1 Os 2.86
Pu 0.2500 0.4763 0.1711  3 Os 2.74-2.92, 2 Rh 2.97, 1 Pu 3.00
Pu 0.7500 0.5237 0.8289  3 Os 2.74-2.92, 2 Rh 2.97, 1 Pu 3.00
Pu 0.7500 0.7500 0.4359  2 Rh 2.72, 1 Os 2.86
Pu 0.7500 0.9763 0.8289  3 Os 2.74-2.92, 2 Rh 2.97, 1 Pu 3.00
Os 0.2500 0.2500 0.8877  7 Pu 2.74-2.92
Os 0.7500 0.7500 0.1123  7 Pu 2.74-2.92
Rh 0.2500 0.7500 0.6462  6 Pu 2.72-2.97
Rh 0.7500 0.2500 0.3538  6 Pu 2.72-2.97

## Properties
calculated volume: 116.6 Å³/f.u.
space-group type: Pmmn
energy of formation from the pure elements: -0.09 eV per atom

---

> calculated volume of number 3 (PuUReOs)?

70.6 Å³/f.u.